Record 1
# KSr2As2

A relaxed structure of KSr2As2 (PBE, Alexandria).

```
5
Lattice="5.378 0.000 0.000 0.000 5.378 0.000 2.689 2.689 6.238" Properties=species:S:1:pos:R:3 pbc="T T T"
Sr 5.378 2.689 3.119
As 5.378 5.378 4.765
As 2.689 2.689 1.473
K 0.000 0.000 0.000
Sr 2.689 5.378 3.119
```

Output
calculated total energy	-3.376	eV/atom
calculated density	3.35	g/cm3
space-group type	I4/mmm (139)

Record 2
# K2SrAs

A relaxed structure of K2SrAs (PBE, Alexandria).

```
4
Lattice="-2.552 -0.985 -3.303 -2.643 -2.499 2.787 -6.830 6.706 3.276" Properties=species:S:1:pos:R:3 pbc="T T T"
K -8.587 4.101 5.411
As -8.329 1.402 3.233
Sr -5.523 2.843 3.419
K -3.794 1.187 -0.207
```

Output
calculated total energy	-2.606	eV/atom
calculated density	2.06	g/cm3
space-group type	Pm (6)

Record 3
# K2SrAs

A relaxed structure of K2SrAs (PBE, Alexandria).

```
4
Lattice="-3.196 -3.699 -1.820 4.383 -0.562 -6.553 6.246 -4.316 -2.196" Properties=species:S:1:pos:R:3 pbc="T T T"
Sr 1.059 -3.069 -3.097
K 6.527 -2.995 -5.373
K 9.417 -4.322 -7.752
As 6.374 -5.508 -7.472
```

Output
calculated total energy	-2.449	eV/atom
calculated density	1.74	g/cm3
space-group type	Cmmm (65)

Record 4
# K2Sr2As

A relaxed structure of K2Sr2As (PBE, Alexandria).

```
10
Lattice="8.362 0.000 0.000 0.000 8.362 0.000 0.000 0.000 7.431" Properties=species:S:1:pos:R:3 pbc="T T T"
K 1.458 5.639 3.715
Sr 6.847 5.696 0.000
K 2.723 1.458 3.715
K 6.903 2.723 3.715
Sr 1.515 2.666 0.000
As 4.181 4.181 0.000
Sr 5.696 1.515 0.000
Sr 2.666 6.847 0.000
K 5.639 6.903 3.715
As 0.000 0.000 0.000
```

Output
calculated total energy	-2.315	eV/atom
calculated density	2.10	g/cm3
space-group type	P4/mbm (127)

Record 5
# KSr2As2

A relaxed structure of KSr2As2 (PBE, Alexandria).

```
5
Lattice="-3.817 2.299 -3.803 -2.675 -5.192 -0.454 -6.847 0.016 2.369" Properties=species:S:1:pos:R:3 pbc="T T T"
As -6.955 0.434 -1.781
K 0.000 0.000 0.000
Sr -8.770 -1.968 -1.412
As -6.384 -3.311 -0.107
Sr -4.569 -0.909 -0.476
```

Output
calculated total energy	-3.330	eV/atom
calculated density	2.96	g/cm3
space-group type	I4/mmm (139)

Record 6
# KSrAs

A relaxed structure of KSrAs (PBE, Alexandria).

```
3
Lattice="5.024 0.000 0.000 -2.512 4.351 0.000 0.000 0.000 5.875" Properties=species:S:1:pos:R:3 pbc="T T T"
As 0.000 0.000 5.589
K 2.512 1.450 1.484
Sr 0.000 2.901 4.677
```

Output
calculated total energy	-3.068	eV/atom
calculated density	2.61	g/cm3
space-group type	P3m1 (156)

Q: Which of these has the highest calculated density?
A: number 1